[1]
Material: K2ZrIr
Method: DFT, GGA-PBE
State: relaxed

It has space group Cm (No. 8), with a = 6.7830 Å, b = 3.8956 Å, c = 11.5523 Å, α = 90.00°, β = 100.17° and γ = 90.00°. The asymmetric unit holds K at (0.0000, 0.0000, 0.0000), K at (0.1897, 0.0000, 0.6271), Zr at (0.4318, 0.0000, 0.3211) and Ir at (0.2317, 0.5000, 0.2119).

As for the formation energy: 0.1591 eV per atom.


[2]
Material: MnSnW2
Method: DFT, GGA-PBE
State: relaxed

It has space group Fm-3m (No. 225), with a = 6.3417 Å, b = 6.3417 Å, c = 6.3417 Å, α = 90.00°, β = 90.00° and γ = 90.00°. The asymmetric unit holds Mn at (0.0000, 0.0000, 0.0000), Sn at (0.0000, 0.0000, 0.5000) and W at (0.2500, 0.2500, 0.2500).

As for the formation energy: 0.6943 eV per atom.


[3]
Material: Pm4PrDyS8
Method: DFT, GGA-PBE
State: relaxed

It has space group R3m (No. 160, hexagonal axes), with a = 8.2837 Å, b = 8.2837 Å, c = 20.1513 Å, α = 90.00°, β = 90.00° and γ = 120.00°. The asymmetric unit holds Pm at (0.0000, 0.0000, 0.0000), Pm at (0.1672, 0.3345, 0.4571), Pr at (0.0000, 0.0000, 0.2478), Dy at (0.0000, 0.0000, 0.6241), S at (0.0000, 0.0000, 0.3822), S at (0.0000, 0.0000, 0.8674), S at (0.0255, 0.5128, 0.3738) and S at (0.1816, 0.3632, 0.2065).

As for the energy relative to the elements, uncorrected: -1.919 eV per atom.


[4]
Material: Tl2InW
Method: DFT, GGA-PBE
State: relaxed

It has space group Pmmm (No. 47), with a = 3.0731 Å, b = 4.9021 Å, c = 5.9845 Å, α = 90.00°, β = 90.00° and γ = 90.00°. The asymmetric unit holds Tl at (0.0000, 0.0000, 0.2411), In at (0.5000, 0.5000, 0.5000) and W at (0.5000, 0.5000, 0.0000).

As for the formation energy: 0.8835 eV per atom.


[5]
Material: ZrSbRu2
Method: DFT, GGA-PBE
State: relaxed

It has space group R-3m (No. 166, hexagonal axes), with a = 3.2314 Å, b = 3.2314 Å, c = 24.3712 Å, α = 90.00°, β = 90.00° and γ = 120.00°. The asymmetric unit holds Zr at (0.0000, 0.0000, 0.0000), Sb at (0.0000, 0.0000, 0.5000) and Ru at (0.0000, 0.0000, 0.2504).

As for the energy relative to the elements, uncorrected: 0.005 eV per atom.